Compound: NiTeAsOs2
Source: Alexandria
Functional: PBE
Structure: optimized geometry

* raw formation energy: 1.18 eV per atom
* crystal system: tetragonal
* calculated density: 11.419 Mg/m³

Unit cell a=4.630 b=4.352 c=4.630 alpha=90.00 beta=90.00 gamma=90.00
Atoms (fractional coordinates):
As 0.000 0.000 0.000
Os 0.000 0.000 0.500
Os 0.500 0.000 0.000
Ni 0.000 0.500 0.000
Te 0.500 0.500 0.500

---

Compound: TlNiAs2Os
Source: Alexandria
Functional: PBE
Structure: optimized geometry

* raw total energy: -0.340 Ry/atom
* crystal system: tetragonal
* calculated density: 10.155 Mg/m³

Unit cell a=4.424 b=5.040 c=4.424 alpha=90.00 beta=90.00 gamma=90.00
Site moments in Bohr magnetons follow the coordinates.
Atoms (fractional coordinates):
Ni 0.000 0.000 0.000  -0.02
As 0.000 0.000 0.500  -0.02
As 0.500 0.000 0.000  -0.02
Os 0.500 0.500 0.500  0.51
Tl 0.000 0.500 0.000  -0.01

---

Compound: ZnNi2AsOs
Source: Alexandria
Functional: PBE
Structure: optimized geometry

* raw total energy: -0.350 Ry/atom
* crystal system: tetragonal
* calculated density: 7.540 Mg/m³

Unit cell a=4.635 b=4.592 c=4.635 alpha=90.00 beta=90.00 gamma=90.00
Atoms (fractional coordinates):
Zn 0.500 0.500 0.500
As 0.000 0.500 0.000
Ni 0.000 0.000 0.500
Ni 0.500 0.000 0.000
Os 0.000 0.000 0.000